The following is a meta-GGA SCAN calculation of MoCl5 at its PBEsol-relaxed geometry, from Alexandria.

a = 7.6516 Å, b = 7.6516 Å, c = 2.8759 Å
α = 90.00°, β = 90.00°, γ = 120.00°
Space group P-62m (No. 189)
Asymmetric unit:
Mo1 0.0000 0.0000 0.0000
Cl1 0.0000 0.2423 0.5000
Cl2 0.3333 0.6667 0.0000

## Properties
- Energy: -76.77 eV/cell
- Crystal system: hexagonal
- Energy above the most stable polymorph in this dataset: 584 meV per atom
- Formation energy from raw total energies: -0.33 eV per atom